Compound: ErHg2Pd
Source: Alexandria
Functional: PBE-GGA
Structure: relaxed

Unit cell a=4.518 b=4.518 c=9.124 alpha=104.33 beta=104.33 gamma=90.00
Positions (direct):
Er: 0.141 0.141 0.282
Er: 0.859 0.859 0.718
Hg: 0.000 0.500 0.000
Hg: 0.500 0.000 0.000
Hg: 0.359 0.359 0.718
Hg: 0.641 0.641 0.282
Pd: 0.250 0.750 0.500
Pd: 0.750 0.250 0.500

Values from the calculation:
Final energy: -3.086 eV/atom
Energy of formation: -0.4962 eV per atom
Crystal system: tetragonal